1.
DFT (GGA-PBE) results for a relaxed structure of CaZn2Ni2.

POSCAR file:
```
CaZn2Ni2
1.0
-2.017 2.017 5.154
2.017 -2.017 5.154
2.017 2.017 -5.154
Ca Zn Ni
1 2 2
Direct
0.000 0.000 0.000
0.250 0.750 0.500
0.750 0.250 0.500
0.388 0.388 0.000
0.612 0.612 0.000
```

E above lowest polymorph	15	meV per atom
SG	No. 139
E_form	-0.210	eV per atom
D(E_F)	1.94	states/eV/f.u.
crystal system	tetragonal
magnetic moment	0.000	μB/cell

2.
DFT (GGA-PBE) results for a relaxed structure of CaZnNi2.

POSCAR file:
```
CaZnNi2
1.0
4.164 0.000 0.000
-2.082 3.606 0.000
0.000 0.000 9.613
Ca Zn Ni
2 2 4
Direct
0.333 0.667 0.250
0.667 0.333 0.750
0.000 0.000 0.000
0.000 0.000 0.500
0.333 0.667 0.536
0.333 0.667 0.964
0.667 0.333 0.036
0.667 0.333 0.464
```

SG	No. 194
E_form	-0.222	eV per atom
D(E_F)	2.48	states/eV/f.u.
crystal system	hexagonal
magnetic moment	0.000	μB/cell

3.
DFT (GGA-PBE) results for a relaxed structure of Ca2Zn2Ni3.

POSCAR file:
```
Ca2Zn2Ni3
1.0
5.099 -2.097 0.000
5.099 2.097 0.000
-3.064 0.000 5.689
Ca Zn Ni
2 2 3
Direct
0.157 0.157 0.262
0.843 0.843 0.738
0.133 0.133 0.747
0.867 0.867 0.253
0.411 0.411 0.078
0.500 0.500 0.500
0.589 0.589 0.922
```

SG	No. 12
E_form	-0.190	eV per atom
D(E_F)	3.63	states/eV/f.u.
crystal system	monoclinic
magnetic moment	0.000	μB/cell

4.
DFT (GGA-PBE) results for a relaxed structure of CaZn3Ni2.

POSCAR file:
```
CaZn3Ni2
1.0
4.737 -4.046 0.000
4.737 4.046 0.000
0.000 0.000 5.168
Ca Zn Ni
2 6 4
Direct
0.155 0.845 0.750
0.845 0.155 0.250
0.040 0.574 0.250
0.426 0.960 0.250
0.460 0.540 0.250
0.540 0.460 0.750
0.574 0.040 0.750
0.960 0.426 0.750
0.279 0.279 0.000
0.279 0.279 0.500
0.721 0.721 0.000
0.721 0.721 0.500
```

SG	No. 63
E_form	-0.285	eV per atom
D(E_F)	2.14	states/eV/f.u.
crystal system	orthorhombic
magnetic moment	0.000	μB/cell

> The lowest D(E_F) belongs to which entry?

CaZn2Ni2

> What is the formula in the third record?

Ca2Zn2Ni3